Entry 1:
## Tl3Tc (GGA-PBE)

Data for a relaxed structure of Tl3Tc.

The structure in POSCAR format:
```
Tl3Tc
1.0
4.617 0.000 0.000
0.000 4.617 0.000
0.000 0.000 4.617
Tl Tc
3 1
direct
0.500 0.500 0.000 Tl
0.500 0.000 0.500 Tl
0.000 0.500 0.500 Tl
0.000 0.000 0.000 Tc
```


Entry 2:
TiMn4N4 | Alexandria via LeMat-Bulk | GGA-PBE | relaxed; raw formation energy = -0.49 eV per atom
1.0
-2.910 2.970 -3.097
0.176 -1.649 -4.792
-5.318 -5.703 -1.309
N Mn Ti
8 8 2
direct
0.007 0.689 0.594 N
0.524 0.178 0.608 N
0.100 0.217 0.970 N
0.476 0.822 0.392 N
0.527 0.571 0.806 N
0.900 0.783 0.030 N
0.993 0.311 0.406 N
0.473 0.429 0.194 N
0.740 0.195 0.031 Mn
0.262 0.932 0.605 Mn
0.238 0.562 0.401 Mn
0.696 0.651 0.226 Mn
0.762 0.438 0.599 Mn
0.304 0.349 0.774 Mn
0.738 0.068 0.395 Mn
0.260 0.805 0.969 Mn
0.780 0.796 0.795 Ti
0.220 0.204 0.205 Ti


Entry 3:
Na2CaMgBr6 | Alexandria via LeMat-Bulk | GGA-PBE | relaxed; raw formation energy = -1.56 eV per atom
1.0
-1.474 -4.438 -3.417
0.456 -4.829 6.076
-7.505 1.277 1.578
Br Na Mg Ca
6 2 1 1
direct
0.724 0.760 0.760 Br
0.724 0.240 0.240 Br
0.724 0.760 0.240 Br
0.202 0.000 0.000 Br
0.724 0.240 0.760 Br
0.174 0.500 0.500 Br
0.942 0.500 0.000 Na
0.942 0.000 0.500 Na
0.633 0.000 0.000 Mg
0.660 0.500 0.500 Ca


Entry 4:
## HgGe2BIr (GGA-PBE)

Data for a relaxed structure of HgGe2BIr.

The structure in POSCAR format:
```
HgGe2BIr
1.0
4.245 0.000 0.000
0.000 4.618 0.000
0.000 0.000 4.245
Ge Ir Hg B
2 1 1 1
direct
0.000 0.000 0.500 Ge
0.500 0.000 0.000 Ge
0.500 0.500 0.500 Ir
0.000 0.500 0.000 Hg
0.000 0.000 0.000 B
```


| no. | raw total energy (eV per cell) | total magnetic moment (μB/cell) |
| --- | --- | --- |
| 1 | -14.40 | 3.10 |
| 2 | -164.63 | 13.43 |
| 3 | -31.92 | 0.00 |
| 4 | -20.40 | 0.00 |